A plane-wave DFT calculation with PBE was carried out for crystalline Rb2AgO2 at its relaxed geometry.

abc: 5.7674 5.7674 8.6695
angles: 90.00 90.00 90.00
Sites, in units of the cell vectors:
Rb1 0.0000 0.5000 0.2500
Rb2 0.0000 0.5000 0.7500
Rb3 0.5000 0.0000 0.2500
Rb4 0.5000 0.0000 0.7500
Ag1 0.0000 0.0000 0.0000
Ag2 0.5000 0.5000 0.5000
O1 0.0000 0.0000 0.4215
O2 0.0000 0.0000 0.5785
O3 0.5000 0.5000 0.0785
O4 0.5000 0.5000 0.9215

## Properties
N(E_F)	10.7	states/eV/cell
E_tot	-3.2888	eV per atom
formation energy (no corrections)	-0.3482	eV per atom
SG	I4/mmm

***

A plane-wave DFT calculation with PBE was carried out for crystalline RbAgO at its relaxed geometry.

abc: 3.9905 3.9905 4.6853
angles: 90.00 90.00 120.00
Sites, in units of the cell vectors:
Rb1 0.0000 0.0000 0.0000
Ag1 0.6667 0.3333 0.5000
O1 0.3333 0.6667 0.5000

## Properties
N(E_F)	0.5	states/eV/cell
E_tot	-3.3874	eV per atom
formation energy (no corrections)	-0.4618	eV per atom
SG	P-6m2

***

A plane-wave DFT calculation with PBE was carried out for crystalline Rb6Ag2O at its relaxed geometry.

abc: 8.2647 8.2647 13.7717
angles: 90.00 90.00 120.00
Sites, in units of the cell vectors:
Rb1 0.0238 0.5119 0.0000
Rb2 0.1718 0.3436 0.2256
Rb3 0.1718 0.8282 0.2256
Rb4 0.3436 0.1718 0.7256
Rb5 0.4881 0.5119 0.0000
Rb6 0.4881 0.9762 0.0000
Rb7 0.5119 0.0238 0.5000
Rb8 0.5119 0.4881 0.5000
Rb9 0.6564 0.8282 0.2256
Rb10 0.8282 0.1718 0.7256
Rb11 0.8282 0.6564 0.7256
Rb12 0.9762 0.4881 0.5000
Ag1 0.0000 0.0000 0.4986
Ag2 0.0000 0.0000 0.9986
Ag3 0.3333 0.6667 0.7403
Ag4 0.6667 0.3333 0.2403
O1 0.3333 0.6667 0.1184
O2 0.6667 0.3333 0.6184

## Properties
N(E_F)	7.1	states/eV/cell
E_tot	-2.1105	eV per atom
formation energy (no corrections)	-0.2809	eV per atom
SG	P6_3mc

***

A plane-wave DFT calculation with PBE was carried out for crystalline Rb2Ag2O3 at its relaxed geometry.

abc: 12.1682 4.3657 5.8315
angles: 90.00 111.48 90.00
Sites, in units of the cell vectors:
Rb1 0.0945 0.0000 0.3245
Rb2 0.4055 0.5000 0.6755
Rb3 0.5945 0.5000 0.3245
Rb4 0.9055 0.0000 0.6755
Ag1 0.1550 0.5000 0.8259
Ag2 0.3450 0.0000 0.1741
Ag3 0.6550 0.0000 0.8259
Ag4 0.8450 0.5000 0.1741
O1 0.0000 0.5000 0.5000
O2 0.1780 0.0000 0.8671
O3 0.3220 0.5000 0.1329
O4 0.5000 0.0000 0.5000
O5 0.6780 0.5000 0.8671
O6 0.8220 0.0000 0.1329

## Properties
N(E_F)	5.2	states/eV/cell
E_tot	-3.8252	eV per atom
formation energy (no corrections)	-0.6091	eV per atom
SG	C2/m

***

A plane-wave DFT calculation with PBE was carried out for crystalline RbAgO at its relaxed geometry.

abc: 4.0914 5.0388 8.7245
angles: 90.00 90.00 90.00
Sites, in units of the cell vectors:
Rb1 0.0000 0.0000 0.0000
Rb2 0.0000 0.5000 0.5000
Ag1 0.5000 0.0000 0.6670
Ag2 0.5000 0.5000 0.1670
O1 0.0000 0.0000 0.6660
O2 0.0000 0.5000 0.1660

## Properties
N(E_F)	1.4	states/eV/cell
E_tot	-3.5211	eV per atom
formation energy (no corrections)	-0.5955	eV per atom
SG	Amm2

***

A plane-wave DFT calculation with PBE was carried out for crystalline Rb2AgO2 at its relaxed geometry.

abc: 7.2152 5.6443 12.4795
angles: 90.00 90.00 90.00
Sites, in units of the cell vectors:
Rb1 0.0765 0.2500 0.1771
Rb2 0.1581 0.2500 0.5584
Rb3 0.3419 0.7500 0.0584
Rb4 0.4235 0.7500 0.6771
Rb5 0.5765 0.2500 0.3229
Rb6 0.6581 0.2500 0.9416
Rb7 0.8419 0.7500 0.4416
Rb8 0.9235 0.7500 0.8229
Ag1 0.2070 0.2500 0.8445
Ag2 0.2930 0.7500 0.3445
Ag3 0.7070 0.2500 0.6555
Ag4 0.7930 0.7500 0.1555
O1 0.0551 0.7500 0.2345
O2 0.2173 0.7500 0.5019
O3 0.2827 0.2500 0.0019
O4 0.4449 0.2500 0.7345
O5 0.5551 0.7500 0.2655
O6 0.7173 0.7500 0.9981
O7 0.7827 0.2500 0.4981
O8 0.9449 0.2500 0.7655

## Properties
N(E_F)	6.4	states/eV/cell
E_tot	-3.6294	eV per atom
formation energy (no corrections)	-0.6888	eV per atom
SG	Pnma

***

A plane-wave DFT calculation with PBE was carried out for crystalline Rb2Ag2O at its relaxed geometry.

abc: 3.7835 3.7835 19.9205
angles: 90.00 90.00 90.00
Sites, in units of the cell vectors:
Rb1 0.0000 0.0000 0.0789
Rb2 0.0000 0.0000 0.9211
Rb3 0.5000 0.5000 0.4211
Rb4 0.5000 0.5000 0.5789
Ag1 0.0000 0.5000 0.2500
Ag2 0.0000 0.5000 0.7500
Ag3 0.5000 0.0000 0.2500
Ag4 0.5000 0.0000 0.7500
O1 0.0000 0.0000 0.5000
O2 0.5000 0.5000 0.0000

## Properties
N(E_F)	7.6	states/eV/cell
E_tot	-2.8108	eV per atom
formation energy (no corrections)	-0.2916	eV per atom
SG	I4/mmm

***

A plane-wave DFT calculation with PBE was carried out for crystalline Rb4Ag2O at its relaxed geometry.

abc: 16.7548 4.5996 7.3519
angles: 90.00 101.32 90.00
Sites, in units of the cell vectors:
Rb1 0.0687 0.0000 0.2258
Rb2 0.1390 0.5000 0.8590
Rb3 0.3610 0.0000 0.1410
Rb4 0.4313 0.5000 0.7742
Rb5 0.5687 0.5000 0.2258
Rb6 0.6390 0.0000 0.8590
Rb7 0.8610 0.5000 0.1410
Rb8 0.9313 0.0000 0.7742
Ag1 0.2449 0.0000 0.6043
Ag2 0.2551 0.5000 0.3957
Ag3 0.7449 0.5000 0.6043
Ag4 0.7551 0.0000 0.3957
O1 0.0000 0.5000 0.0000
O2 0.5000 0.0000 0.0000

## Properties
N(E_F)	2.7	states/eV/cell
E_tot	-2.4076	eV per atom
formation energy (no corrections)	-0.3317	eV per atom
SG	C2/m

***

A plane-wave DFT calculation with PBE was carried out for crystalline Rb7AgO2 at its relaxed geometry.

abc: 8.8774 8.8774 5.6878
angles: 90.00 90.00 116.21
Sites, in units of the cell vectors:
Rb1 0.0000 0.0000 0.0000
Rb2 0.1671 0.4588 0.0000
Rb3 0.1961 0.8039 0.5000
Rb4 0.4588 0.1671 0.0000
Rb5 0.5412 0.8329 0.0000
Rb6 0.8039 0.1961 0.5000
Rb7 0.8329 0.5412 0.0000
Ag1 0.5000 0.5000 0.5000
O1 0.2014 0.7986 0.0000
O2 0.7986 0.2014 0.0000

## Properties
N(E_F)	3.8	states/eV/cell
E_tot	-2.4217	eV per atom
formation energy (no corrections)	-0.4676	eV per atom
SG	Cmmm

***

A plane-wave DFT calculation with PBE was carried out for crystalline Rb12Ag3O5 at its relaxed geometry.

abc: 15.9016 15.9016 15.9016
angles: 109.47 109.47 109.47
Sites, in units of the cell vectors:
Rb1 0.0095 0.1913 0.1101
Rb2 0.0095 0.3182 0.8994
Rb3 0.0812 0.6913 0.6818
Rb4 0.0812 0.8899 0.3994
Rb5 0.1006 0.6101 0.4188
Rb6 0.1006 0.9905 0.6818
Rb7 0.1101 0.0095 0.1913
Rb8 0.1101 0.6006 0.9188
Rb9 0.1818 0.1913 0.5812
Rb10 0.1818 0.4905 0.6006
Rb11 0.1913 0.1101 0.0095
Rb12 0.1913 0.5812 0.1818
Rb13 0.3087 0.3182 0.9188
Rb14 0.3087 0.4905 0.3899
Rb15 0.3182 0.8994 0.0095
Rb16 0.3182 0.9188 0.3087
Rb17 0.3899 0.3087 0.4905
Rb18 0.3899 0.5812 0.8994
Rb19 0.3994 0.0812 0.8899
Rb20 0.3994 0.8182 0.5095
Rb21 0.4188 0.1006 0.6101
Rb22 0.4188 0.8182 0.8087
Rb23 0.4905 0.3899 0.3087
Rb24 0.4905 0.6006 0.1818
Rb25 0.5095 0.3994 0.8182
Rb26 0.5095 0.6101 0.6913
Rb27 0.5812 0.1818 0.1913
Rb28 0.5812 0.8994 0.3899
Rb29 0.6006 0.1818 0.4905
Rb30 0.6006 0.9188 0.1101
Rb31 0.6101 0.4188 0.1006
Rb32 0.6101 0.6913 0.5095
Rb33 0.6818 0.0812 0.6913
Rb34 0.6818 0.1006 0.9905
Rb35 0.6913 0.5095 0.6101
Rb36 0.6913 0.6818 0.0812
Rb37 0.8087 0.4188 0.8182
Rb38 0.8087 0.8899 0.9905
Rb39 0.8182 0.5095 0.3994
Rb40 0.8182 0.8087 0.4188
Rb41 0.8899 0.3994 0.0812
Rb42 0.8899 0.9905 0.8087
Rb43 0.8994 0.0095 0.3182
Rb44 0.8994 0.3899 0.5812
Rb45 0.9188 0.1101 0.6006
Rb46 0.9188 0.3087 0.3182
Rb47 0.9905 0.6818 0.1006
Rb48 0.9905 0.8087 0.8899
Ag1 0.1250 0.2500 0.3750
Ag2 0.1250 0.3750 0.7500
Ag3 0.2500 0.3750 0.1250
Ag4 0.2500 0.8750 0.6250
Ag5 0.3750 0.1250 0.2500
Ag6 0.3750 0.7500 0.1250
Ag7 0.6250 0.2500 0.8750
Ag8 0.6250 0.8750 0.7500
Ag9 0.7500 0.1250 0.3750
Ag10 0.7500 0.6250 0.8750
Ag11 0.8750 0.6250 0.2500
Ag12 0.8750 0.7500 0.6250
O1 0.0000 0.0000 0.0000
O2 0.0000 0.0000 0.5000
O3 0.0000 0.5000 0.0000
O4 0.0000 0.5000 0.5000
O5 0.1250 0.7500 0.8750
O6 0.1250 0.8750 0.2500
O7 0.2500 0.1250 0.8750
O8 0.2500 0.6250 0.3750
O9 0.3750 0.2500 0.6250
O10 0.3750 0.6250 0.7500
O11 0.5000 0.0000 0.0000
O12 0.5000 0.0000 0.5000
O13 0.5000 0.5000 0.0000
O14 0.5000 0.5000 0.5000
O15 0.6250 0.3750 0.2500
O16 0.6250 0.7500 0.3750
O17 0.7500 0.3750 0.6250
O18 0.7500 0.8750 0.1250
O19 0.8750 0.1250 0.7500
O20 0.8750 0.2500 0.1250

## Properties
N(E_F)	60.0	states/eV/cell
E_tot	-2.8334	eV per atom
formation energy (no corrections)	-0.5856	eV per atom
SG	Ia-3d

***

A plane-wave DFT calculation with PBE was carried out for crystalline Rb2AgO2 at its relaxed geometry.

abc: 4.1699 4.1699 14.2991
angles: 90.00 90.00 90.00
Sites, in units of the cell vectors:
Rb1 0.0000 0.0000 0.1581
Rb2 0.0000 0.0000 0.8419
Rb3 0.5000 0.5000 0.3419
Rb4 0.5000 0.5000 0.6581
Ag1 0.0000 0.0000 0.5000
Ag2 0.5000 0.5000 0.0000
O1 0.0000 0.0000 0.3615
O2 0.0000 0.0000 0.6385
O3 0.5000 0.5000 0.1385
O4 0.5000 0.5000 0.8615

## Properties
N(E_F)	8.4	states/eV/cell
E_tot	-3.7288	eV per atom
formation energy (no corrections)	-0.7882	eV per atom
SG	I4/mmm

***

A plane-wave DFT calculation with PBE was carried out for crystalline Rb4Ag2O at its relaxed geometry.

abc: 5.6760 5.6760 18.1998
angles: 90.00 90.00 90.00
Sites, in units of the cell vectors:
Rb1 0.0000 0.0000 0.1499
Rb2 0.0000 0.0000 0.8501
Rb3 0.0000 0.5000 0.0000
Rb4 0.0000 0.5000 0.5000
Rb5 0.5000 0.0000 0.0000
Rb6 0.5000 0.0000 0.5000
Rb7 0.5000 0.5000 0.3501
Rb8 0.5000 0.5000 0.6499
Ag1 0.0000 0.0000 0.3554
Ag2 0.0000 0.0000 0.6446
Ag3 0.5000 0.5000 0.1446
Ag4 0.5000 0.5000 0.8554
O1 0.0000 0.0000 0.0000
O2 0.5000 0.5000 0.5000

## Properties
E_tot	-2.4312	eV per atom
formation energy (no corrections)	-0.3554	eV per atom
SG	I4/mmm

***

A plane-wave DFT calculation with PBE was carried out for crystalline Rb4AgO at its relaxed geometry.

abc: 12.4018 12.4018 8.0875
angles: 90.00 90.00 153.76
Sites, in units of the cell vectors:
Rb1 0.0004 0.9996 0.0000
Rb2 0.9996 0.0004 0.5000
Rb3 0.1625 0.8375 0.5050
Rb4 0.1635 0.8365 0.9903
Rb5 0.4232 0.5768 0.2491
Rb6 0.5768 0.4232 0.7491
Rb7 0.8375 0.1625 0.0050
Rb8 0.8365 0.1635 0.4903
Ag1 0.4177 0.5823 0.7490
Ag2 0.5823 0.4177 0.2490
O1 0.0890 0.9110 0.7488
O2 0.9110 0.0890 0.2488

## Properties
N(E_F)	3.1	states/eV/cell
E_tot	-2.4020	eV per atom
formation energy (no corrections)	-0.4554	eV per atom
SG	Cmc2_1

***

A plane-wave DFT calculation with PBE was carried out for crystalline Rb2AgO2 at its relaxed geometry.

abc: 6.7204 6.7204 4.4305
angles: 90.00 90.00 90.00
Sites, in units of the cell vectors:
Rb1 0.1559 0.3441 0.0000
Rb2 0.3441 0.8441 0.0000
Rb3 0.6559 0.1559 0.0000
Rb4 0.8441 0.6559 0.0000
Ag1 0.0000 0.0000 0.5000
Ag2 0.5000 0.5000 0.5000
O1 0.1796 0.6796 0.5000
O2 0.3204 0.1796 0.5000
O3 0.6796 0.8204 0.5000
O4 0.8204 0.3204 0.5000

## Properties
N(E_F)	4.8	states/eV/cell
E_tot	-3.3560	eV per atom
formation energy (no corrections)	-0.4154	eV per atom
SG	P4/mbm

***

A plane-wave DFT calculation with PBE was carried out for crystalline Rb2AgO at its relaxed geometry.

abc: 3.8319 3.8319 30.9934
angles: 90.00 90.00 120.00
Sites, in units of the cell vectors:
Rb1 0.0000 0.0000 0.1160
Rb2 0.0000 0.0000 0.8840
Rb3 0.3333 0.6667 0.5507
Rb4 0.3333 0.6667 0.7826
Rb5 0.6667 0.3333 0.2174
Rb6 0.6667 0.3333 0.4493
Ag1 0.0000 0.0000 0.0000
Ag2 0.3333 0.6667 0.6667
Ag3 0.6667 0.3333 0.3333
O1 0.0000 0.0000 0.5000
O2 0.3333 0.6667 0.1667
O3 0.6667 0.3333 0.8333

## Properties
N(E_F)	17.0	states/eV/cell
E_tot	-2.7843	eV per atom
formation energy (no corrections)	-0.3482	eV per atom
SG	R-3m

***

A plane-wave DFT calculation with PBE was carried out for crystalline Rb6AgO2 at its relaxed geometry.

abc: 7.7693 7.7693 10.7299
angles: 116.42 116.42 42.99
Sites, in units of the cell vectors:
Rb1 0.0169 0.0169 0.1695
Rb2 0.2897 0.2897 0.9334
Rb3 0.3148 0.3148 0.3567
Rb4 0.6852 0.6852 0.6433
Rb5 0.7103 0.7103 0.0666
Rb6 0.9831 0.9831 0.8305
Ag1 0.0000 0.0000 0.5000
O1 0.1696 0.1696 0.0827
O2 0.8304 0.8304 0.9173

## Properties
N(E_F)	3.6	states/eV/cell
E_tot	-2.6619	eV per atom
formation energy (no corrections)	-0.5982	eV per atom
SG	C2/m

***

A plane-wave DFT calculation with PBE was carried out for crystalline Rb9AgO3 at its relaxed geometry.

abc: 10.6176 10.6176 5.7436
angles: 90.00 90.00 120.00
Sites, in units of the cell vectors:
Rb1 0.0000 0.5000 0.0000
Rb2 0.2014 0.4029 0.5000
Rb3 0.2014 0.7986 0.5000
Rb4 0.4029 0.2014 0.5000
Rb5 0.5000 0.0000 0.0000
Rb6 0.5000 0.5000 0.0000
Rb7 0.5971 0.7986 0.5000
Rb8 0.7986 0.2014 0.5000
Rb9 0.7986 0.5971 0.5000
Ag1 0.0000 0.0000 0.0000
O1 0.0000 0.5000 0.5000
O2 0.5000 0.0000 0.5000
O3 0.5000 0.5000 0.5000

## Properties
N(E_F)	3.6	states/eV/cell
E_tot	-2.6129	eV per atom
formation energy (no corrections)	-0.5795	eV per atom
SG	P6/mmm

***

A plane-wave DFT calculation with PBE was carried out for crystalline Rb5AgO at its relaxed geometry.

abc: 8.6611 8.6611 11.5457
angles: 109.86 109.86 68.96
Sites, in units of the cell vectors:
Rb1 0.0576 0.9424 0.7500
Rb2 0.1903 0.2395 0.6122
Rb3 0.2395 0.1903 0.1122
Rb4 0.2578 0.7040 0.0284
Rb5 0.2960 0.7422 0.4716
Rb6 0.7040 0.2578 0.5284
Rb7 0.7422 0.2960 0.9716
Rb8 0.7605 0.8097 0.8878
Rb9 0.8097 0.7605 0.3878
Rb10 0.9424 0.0576 0.2500
Ag1 0.4349 0.5651 0.7500
Ag2 0.5651 0.4349 0.2500
O1 0.0000 0.0000 0.0000
O2 0.0000 0.0000 0.5000

## Properties
N(E_F)	6.4	states/eV/cell
E_tot	-2.1827	eV per atom
formation energy (no corrections)	-0.3760	eV per atom
SG	C2/c

***

A plane-wave DFT calculation with PBE was carried out for crystalline Rb6AgO at its relaxed geometry.

abc: 9.7791 12.5940 8.2399
angles: 90.00 117.99 90.00
Sites, in units of the cell vectors:
Rb1 0.1183 0.1539 0.2750
Rb2 0.1183 0.8461 0.2750
Rb3 0.2195 0.5000 0.0092
Rb4 0.2805 0.0000 0.9908
Rb5 0.3817 0.3461 0.7250
Rb6 0.3817 0.6539 0.7250
Rb7 0.6183 0.3461 0.2750
Rb8 0.6183 0.6539 0.2750
Rb9 0.7195 0.0000 0.0092
Rb10 0.7805 0.5000 0.9908
Rb11 0.8817 0.1539 0.7250
Rb12 0.8817 0.8461 0.7250
Ag1 0.0000 0.5000 0.5000
Ag2 0.5000 0.0000 0.5000
O1 0.0000 0.0000 0.0000
O2 0.5000 0.5000 0.0000

## Properties
N(E_F)	6.4	states/eV/cell
E_tot	-2.0198	eV per atom
formation energy (no corrections)	-0.3179	eV per atom
SG	C2/m

***

A plane-wave DFT calculation with PBE was carried out for crystalline Rb6AgO at its relaxed geometry.

abc: 8.6120 14.0472 7.7989
angles: 90.00 106.11 90.00
Sites, in units of the cell vectors:
Rb1 0.1658 0.1422 0.2381
Rb2 0.1658 0.8578 0.2381
Rb3 0.2501 0.0000 0.8331
Rb4 0.2499 0.5000 0.1669
Rb5 0.3342 0.3578 0.7619
Rb6 0.3342 0.6422 0.7619
Rb7 0.6658 0.3578 0.2381
Rb8 0.6658 0.6422 0.2381
Rb9 0.7499 0.0000 0.1669
Rb10 0.7501 0.5000 0.8331
Rb11 0.8342 0.1422 0.7619
Rb12 0.8342 0.8578 0.7619
Ag1 0.0000 0.5000 0.5000
Ag2 0.5000 0.0000 0.5000
O1 0.0000 0.0000 0.0000
O2 0.5000 0.5000 0.0000

## Properties
N(E_F)	7.3	states/eV/cell
E_tot	-2.0261	eV per atom
formation energy (no corrections)	-0.3242	eV per atom
SG	C2/m

***

| no. | volume (Å³/cell) |
| --- | --- |
| 1 | 288 |
| 2 | 65 |
| 3 | 815 |
| 4 | 288 |
| 5 | 180 |
| 6 | 508 |
| 7 | 285 |
| 8 | 556 |
| 9 | 402 |
| 10 | 3095 |
| 11 | 249 |
| 12 | 586 |
| 13 | 550 |
| 14 | 200 |
| 15 | 394 |
| 16 | 388 |
| 17 | 561 |
| 18 | 736 |
| 19 | 896 |
| 20 | 906 |